[1]
DFT (GGA-PBE) results for a relaxed structure of Cr3Rh5Se12.

## Properties
size of the total moment = 32.9 μB per cell
E_form (uncorrected) = -0.125 eV per atom
Fermi-level density of states = 0.844 states/eV per atom
calculated volume = 1674.9 Å³/cell
space-group type = Ia-3d, No. 230
electronic total energy = -439.81 eV/cell

Lattice parameters (Å, degrees): 12.958 12.958 12.958 109.47 109.47 109.47
Each line ends with the local moment (μB).
Positions (direct):
Rh1 0.500 0.500 0.000  -0.10
Rh2 0.000 0.000 0.500  -0.10
Rh3 0.000 0.000 0.000  -0.10
Rh4 0.875 0.250 0.625  -0.03
Rh5 0.750 0.125 0.875  -0.03
Rh6 0.000 0.500 0.000  -0.10
Rh7 0.750 0.625 0.375  -0.03
Rh8 0.125 0.750 0.375  -0.03
Rh9 0.000 0.500 0.500  -0.10
Rh10 0.625 0.875 0.250  -0.03
Rh11 0.375 0.125 0.750  -0.03
Rh12 0.625 0.750 0.875  -0.03
Rh13 0.500 0.000 0.000  -0.10
Rh14 0.500 0.000 0.500  -0.10
Rh15 0.125 0.375 0.250  -0.03
Rh16 0.875 0.625 0.750  -0.03
Rh17 0.250 0.875 0.125  -0.03
Rh18 0.375 0.250 0.125  -0.03
Rh19 0.250 0.375 0.625  -0.03
Rh20 0.500 0.500 0.500  -0.10
Se1 0.414 0.368 0.586  -0.11
Se2 0.171 0.086 0.718  -0.11
Se3 0.282 0.414 0.829  -0.11
Se4 0.218 0.671 0.086  -0.11
Se5 0.914 0.829 0.782  -0.11
Se6 0.718 0.586 0.171  -0.11
Se7 0.632 0.586 0.914  -0.11
Se8 0.718 0.132 0.046  -0.11
Se9 0.329 0.546 0.414  -0.11
Se10 0.368 0.954 0.782  -0.11
Se11 0.829 0.914 0.282  -0.11
Se12 0.218 0.546 0.632  -0.11
Se13 0.086 0.171 0.218  -0.11
Se14 0.282 0.868 0.954  -0.11
Se15 0.086 0.171 0.454  -0.11
Se16 0.914 0.086 0.632  -0.11
Se17 0.132 0.718 0.546  -0.11
Se18 0.586 0.632 0.414  -0.11
Se19 0.368 0.414 0.086  -0.11
Se20 0.671 0.454 0.586  -0.11
Se21 0.546 0.329 0.914  -0.11
Se22 0.454 0.782 0.868  -0.11
Se23 0.414 0.046 0.329  -0.11
Se24 0.329 0.782 0.414  -0.11
Se25 0.454 0.671 0.086  -0.11
Se26 0.914 0.829 0.546  -0.11
Se27 0.782 0.329 0.914  -0.11
Se28 0.632 0.046 0.218  -0.11
Se29 0.046 0.414 0.829  -0.11
Se30 0.829 0.914 0.046  -0.11
Se31 0.546 0.218 0.132  -0.11
Se32 0.671 0.218 0.586  -0.11
Se33 0.086 0.914 0.368  -0.11
Se34 0.954 0.368 0.282  -0.11
Se35 0.086 0.914 0.132  -0.11
Se36 0.868 0.282 0.454  -0.11
Se37 0.414 0.132 0.586  -0.11
Se38 0.046 0.632 0.718  -0.11
Se39 0.954 0.586 0.171  -0.11
Se40 0.414 0.282 0.329  -0.11
Se41 0.586 0.954 0.671  -0.11
Se42 0.914 0.086 0.868  -0.11
Se43 0.782 0.454 0.368  -0.11
Se44 0.868 0.586 0.914  -0.11
Se45 0.132 0.414 0.086  -0.11
Se46 0.171 0.086 0.954  -0.11
Se47 0.586 0.868 0.414  -0.11
Se48 0.586 0.718 0.671  -0.11
Cr1 0.625 0.250 0.375  3.17
Cr2 0.250 0.125 0.375  3.17
Cr3 0.125 0.875 0.750  3.17
Cr4 0.750 0.875 0.625  3.17
Cr5 0.375 0.750 0.625  3.17
Cr6 0.250 0.625 0.875  3.17
Cr7 0.750 0.375 0.125  3.17
Cr8 0.875 0.750 0.125  3.17
Cr9 0.125 0.250 0.875  3.17
Cr10 0.875 0.125 0.250  3.17
Cr11 0.625 0.375 0.750  3.17
Cr12 0.375 0.625 0.250  3.17

---

[2]
DFT (GGA-PBE) results for a relaxed structure of Cr4RhSe.

## Properties
size of the total moment = 0.0 μB per cell
E_form (uncorrected) = 0.436 eV per atom
Fermi-level density of states = 1.427 states/eV per atom
calculated volume = 78.8 Å³/cell
space-group type = F-43m, No. 216
electronic total energy = -46.72 eV/cell

Lattice parameters (Å, degrees): 4.812 4.812 4.812 60.00 60.00 60.00
Positions (direct):
Cr1 0.875 0.375 0.375
Cr2 0.375 0.375 0.375
Cr3 0.375 0.375 0.875
Cr4 0.375 0.875 0.375
Se1 0.000 0.000 0.000
Rh1 0.750 0.750 0.750

---

[3]
DFT (GGA-PBE) results for a relaxed structure of Cr2RhSe.

## Properties
size of the total moment = 2.4 μB per cell
E_form (uncorrected) = 0.252 eV per atom
Fermi-level density of states = 0.757 states/eV per atom
calculated volume = 55.9 Å³/cell
space-group type = F-43m, No. 216
electronic total energy = -29.08 eV/cell

Lattice parameters (Å, degrees): 4.293 4.293 4.293 60.00 60.00 60.00
Each line ends with the local moment (μB).
Positions (direct):
Cr1 0.000 0.000 0.000  -1.11
Cr2 0.250 0.250 0.250  2.88
Se1 0.750 0.750 0.750  0.09
Rh1 0.500 0.500 0.500  0.40

---

[4]
DFT (GGA-PBE) results for a relaxed structure of CrRhSe3.

## Properties
size of the total moment = 12.0 μB per cell
E_form (uncorrected) = -0.283 eV per atom
Fermi-level density of states = 0.347 states/eV per atom
calculated volume = 422.3 Å³/cell
space-group type = C2/c, No. 15
electronic total energy = -115.38 eV/cell

Lattice parameters (Å, degrees): 6.680 8.030 8.030 84.41 82.65 82.65
Each line ends with the local moment (μB).
Positions (direct):
Se1 0.116 0.967 0.811  -0.03
Se2 0.910 0.364 0.894  -0.09
Se3 0.410 0.894 0.364  -0.09
Se4 0.319 0.555 0.689  -0.17
Se5 0.090 0.636 0.106  -0.09
Se6 0.384 0.189 0.033  -0.03
Se7 0.819 0.689 0.555  -0.17
Se8 0.616 0.811 0.967  -0.03
Se9 0.884 0.033 0.189  -0.03
Se10 0.590 0.106 0.636  -0.09
Se11 0.181 0.311 0.445  -0.17
Se12 0.681 0.445 0.311  -0.17
Rh1 0.750 0.747 0.253  0.15
Rh2 0.250 0.253 0.747  0.15
Rh3 0.250 0.910 0.090  0.16
Rh4 0.750 0.090 0.910  0.16
Cr1 0.513 0.189 0.332  2.98
Cr2 0.013 0.332 0.189  2.98
Cr3 0.487 0.811 0.668  2.98
Cr4 0.987 0.668 0.811  2.98